Compound: TbNd4Cu5
Source: Alexandria
Functional: PBE
Structure: relaxed

abc: 3.5519 3.5519 18.0355
angles: 90.00 90.00 90.00
Space group P4/mmm (No. 123)
Asymmetric unit:
Tb (0.0000, 0.0000, 0.0000) x1
Nd (0.0000, 0.0000, 0.1965) x2
Nd (0.0000, 0.0000, 0.3990) x2
Cu (0.5000, 0.5000, 0.0914) x2
Cu (0.5000, 0.5000, 0.2984) x2
Cu (0.5000, 0.5000, 0.5000) x1

## Properties
total moment: 0.0 μB/f.u.
ρ: 7.7 g/cm3
electronic total energy: -4.578 eV per atom



Compound: TbNdCu4
Source: Alexandria
Functional: PBE
Structure: relaxed

abc: 7.5218 7.5218 7.5218
angles: 90.00 90.00 90.00
Space group F-43m (No. 216)
Asymmetric unit:
Tb (0.0000, 0.0000, 0.0000) x4
Nd (0.2500, 0.2500, 0.7500) x4
Cu (0.1257, 0.1257, 0.3743) x16

## Properties
total moment: 0.0 μB/f.u.
ρ: 8.7 g/cm3
electronic total energy: -4.414 eV per atom



Compound: TbNdCuTc
Source: Alexandria
Functional: PBE
Structure: relaxed

abc: 7.0144 7.0144 7.0144
angles: 90.00 90.00 90.00
Space group F-43m (No. 216)
Asymmetric unit:
Tb (0.0000, 0.0000, 0.0000) x4
Nd (0.0000, 0.0000, 0.5000) x4
Cu (0.2500, 0.2500, 0.7500) x4
Tc (0.2500, 0.2500, 0.2500) x4

## Properties
total moment: 0.0 μB/f.u.
ρ: 8.9 g/cm3
electronic total energy: -5.963 eV per atom



Compound: TbNdYCu
Source: Alexandria
Functional: PBE
Structure: relaxed

abc: 3.5397 3.5397 8.7600
angles: 90.00 90.00 90.00
Space group P4mm (No. 99)
Asymmetric unit:
Tb (0.0000, 0.0000, 0.0000) x1
Nd (0.5000, 0.5000, 0.3067) x1
Y (0.0000, 0.0000, 0.6152) x1
Cu (0.5000, 0.5000, 0.8095) x1

## Properties
total moment: 0.0 μB/f.u.
ρ: 6.9 g/cm3
electronic total energy: -5.087 eV per atom



Compound: TbNdZnCu
Source: Alexandria
Functional: PBE
Structure: relaxed

abc: 7.1815 7.1815 7.1815
angles: 90.00 90.00 90.00
Space group F-43m (No. 216)
Asymmetric unit:
Tb (0.0000, 0.0000, 0.0000) x4
Nd (0.0000, 0.0000, 0.5000) x4
Zn (0.2500, 0.2500, 0.7500) x4
Cu (0.2500, 0.2500, 0.2500) x4

## Properties
total moment: 0.0 μB/f.u.
ρ: 7.7 g/cm3
electronic total energy: -3.935 eV per atom



Compound: TbNdZnCu
Source: Alexandria
Functional: PBE
Structure: relaxed

abc: 3.5798 3.5798 7.2053
angles: 90.00 90.00 90.00
Space group P4mm (No. 99)
Asymmetric unit:
Tb (0.0000, 0.0000, 0.0000) x1
Nd (0.0000, 0.0000, 0.5120) x1
Zn (0.5000, 0.5000, 0.2437) x1
Cu (0.5000, 0.5000, 0.7791) x1

## Properties
total moment: 0.0 μB/f.u.
ρ: 7.8 g/cm3
electronic total energy: -3.946 eV per atom



no.,DOS(E_F) (states/eV/cell)
1,7.28
2,13.70
3,17.01
4,3.92
5,11.34
6,3.58